Entry from Alexandria: a geometry-optimized IrSeBr2Cl structure (PBE).

Structure (POSCAR):
```
IrSeBr2Cl
1.0
5.072 0.000 0.000
0.000 5.072 0.000
0.000 0.000 5.245
Ir Se Br Cl
1 1 2 1
Direct
0.000 0.000 0.000
0.500 0.500 0.000
0.000 0.500 0.500
0.500 0.000 0.500
0.500 0.500 0.500
```

Computed properties:
- Polymorph energy (0 for the lowest one): 6.06 eV per formula unit
- Total DFT energy (no corrections): -1.928 eV/atom
- Energy relative to the elements, uncorrected: 1.58 eV/atom
- Symmetry: P4/mmm